1.
First-principles (GGA-PBE) data for crystalline AlCuGe at its relaxed geometry, as listed in Alexandria via LeMat-Bulk.

* mass density: 5.62 g cm⁻³
* calculated formation energy: 1.14 kcal/mol of atoms
* SG: Pnma (62)
* DFT total energy: -4.10 eV/atom
* V: 16.065 Å³/atom

a = 6.0400 Å, b = 5.2395 Å, c = 6.0918 Å
α = 90.00°, β = 90.00°, γ = 90.00°
Fractional coordinates of all 12 atoms:
Ge 0.3885 0.2500 0.1025
Ge 0.1115 0.7500 0.6025
Ge 0.6115 0.7500 0.8975
Ge 0.8885 0.2500 0.3975
Al 0.0000 0.0000 0.0000
Al 0.5000 0.5000 0.5000
Al 0.5000 0.0000 0.5000
Al 0.0000 0.5000 0.0000
Cu 0.6813 0.2500 0.8137
Cu 0.8187 0.7500 0.3137
Cu 0.3187 0.7500 0.1863
Cu 0.1813 0.2500 0.6863



2.
First-principles (GGA-PBE) data for crystalline BaIn2As2 at its relaxed geometry, as listed in Alexandria via LeMat-Bulk.

* mass density: 5.86 g cm⁻³
* calculated formation energy: -10.02 kcal/mol of atoms
* SG: I4/mmm (139)
* DFT total energy: -3.77 eV/atom
* V: 29.296 Å³/atom

a = 4.6456 Å, b = 4.6456 Å, c = 7.5403 Å
α = 72.06°, β = 72.06°, γ = 90.00°
Fractional coordinates of all 5 atoms:
As 0.4072 0.4072 0.1855
As 0.5928 0.5928 0.8145
Ba 0.0000 0.0000 0.0000
In 0.7500 0.2500 0.5000
In 0.2500 0.7500 0.5000



3.
First-principles (GGA-PBE) data for crystalline La2Pr9Th at its relaxed geometry, as listed in Alexandria via LeMat-Bulk.

* mass density: 6.85 g cm⁻³
* calculated formation energy: 0.56 kcal/mol of atoms
* SG: P4/mmm (123)
* DFT total energy: -5.00 eV/atom
* V: 35.916 Å³/atom

a = 5.2339 Å, b = 5.2339 Å, c = 15.7335 Å
α = 90.00°, β = 90.00°, γ = 90.00°
Fractional coordinates of all 12 atoms:
La 0.0000 0.0000 0.3325
La 0.0000 0.0000 0.6675
Pr 0.5000 0.5000 0.0000
Pr 0.5000 0.5000 0.3327
Pr 0.5000 0.5000 0.6673
Pr 0.5000 0.0000 0.1614
Pr 0.5000 0.0000 0.5000
Pr 0.5000 0.0000 0.8386
Pr 0.0000 0.5000 0.1614
Pr 0.0000 0.5000 0.5000
Pr 0.0000 0.5000 0.8386
Th 0.0000 0.0000 0.0000



4.
First-principles (GGA-PBE) data for crystalline ErH2ClO2 at its relaxed geometry, as listed in Alexandria via LeMat-Bulk.

* mass density: 5.45 g cm⁻³
* SG: P2_1/m (11)
* DFT total energy: -5.95 eV/atom
* V: 12.014 Å³/atom

a = 3.5660 Å, b = 6.2965 Å, c = 6.6245 Å
α = 75.75°, β = 90.00°, γ = 90.00°
Fractional coordinates of all 12 atoms:
Cl 0.7500 0.7730 0.4215
Cl 0.2500 0.2270 0.5785
Er 0.2500 0.7228 0.1041
Er 0.7500 0.2772 0.8959
H 0.7500 0.8750 0.7642
H 0.2500 0.1250 0.2358
H 0.7500 0.3780 0.3050
H 0.2500 0.6220 0.6950
O 0.7500 0.8950 0.9063
O 0.2500 0.1050 0.0937
O 0.7500 0.4606 0.1589
O 0.2500 0.5394 0.8411



5.
First-principles (GGA-PBE) data for crystalline LaTb2Zr at its relaxed geometry, as listed in Alexandria via LeMat-Bulk.

* mass density: 7.55 g cm⁻³
* calculated formation energy: 2.75 kcal/mol of atoms
* SG: P4/mmm (123)
* DFT total energy: -5.56 eV/atom
* V: 30.145 Å³/atom

a = 4.9732 Å, b = 4.9240 Å, c = 4.9240 Å
α = 90.00°, β = 90.00°, γ = 90.00°
Fractional coordinates of all 4 atoms:
Tb 0.0000 0.0000 0.5000
Tb 0.0000 0.5000 0.0000
Zr 0.5000 0.0000 0.0000
La 0.5000 0.5000 0.5000



6.
First-principles (GGA-PBE) data for crystalline Ti2TlCr at its relaxed geometry, as listed in Alexandria via LeMat-Bulk.

* mass density: 8.01 g cm⁻³
* calculated formation energy: 18.01 kcal/mol of atoms
* SG: I-42d (122)
* DFT total energy: -6.16 eV/atom
* V: 18.238 Å³/atom

a = 3.8823 Å, b = 3.8823 Å, c = 10.0623 Å
α = 78.88°, β = 78.88°, γ = 90.00°
Fractional coordinates of all 8 atoms:
Cr 0.5000 0.5000 0.0000
Cr 0.2500 0.7500 0.5000
Tl 0.0000 0.0000 0.0000
Tl 0.7500 0.2500 0.5000
Ti 0.6087 0.1250 0.2500
Ti 0.1413 0.6250 0.2500
Ti 0.3750 0.3913 0.7500
Ti 0.8750 0.8587 0.7500



7.
First-principles (GGA-PBE) data for crystalline Sr2TlCdHg4 at its relaxed geometry, as listed in Alexandria via LeMat-Bulk.

* mass density: 9.64 g cm⁻³
* calculated formation energy: -8.68 kcal/mol of atoms
* SG: R-3m (166)
* DFT total energy: -1.36 eV/atom
* V: 27.869 Å³/atom

a = 5.3921 Å, b = 5.3921 Å, c = 9.3857 Å
α = 73.31°, β = 73.31°, γ = 60.00°
Fractional coordinates of all 8 atoms:
Sr 0.7496 0.7496 0.7512
Sr 0.2504 0.2504 0.2488
Tl 0.0000 0.0000 0.0000
Cd 0.5000 0.5000 0.5000
Hg 0.3781 0.3781 0.8658
Hg 0.8723 0.8723 0.3831
Hg 0.1277 0.1277 0.6169
Hg 0.6219 0.6219 0.1342



8.
First-principles (GGA-PBE) data for crystalline GaNi2H at its relaxed geometry, as listed in Alexandria via LeMat-Bulk.

* mass density: 7.99 g cm⁻³
* SG: P4/mmm (123)
* DFT total energy: -4.41 eV/atom
* V: 9.775 Å³/atom

a = 2.5681 Å, b = 2.5681 Å, c = 5.9288 Å
α = 90.00°, β = 90.00°, γ = 90.00°
Fractional coordinates of all 4 atoms:
Ni 0.0000 0.0000 0.7986
Ni 0.0000 0.0000 0.2014
Ga 0.5000 0.5000 0.5000
H 0.5000 0.5000 0.0000



9.
First-principles (GGA-PBE) data for crystalline Pm2Y2Se2S3 at its relaxed geometry, as listed in Alexandria via LeMat-Bulk.

* mass density: 5.50 g cm⁻³
* SG: I4/mmm (139)
* DFT total energy: -6.34 eV/atom
* formation energy from raw total energies: -15.30 eV per formula unit
* V: 24.226 Å³/atom

a = 5.3938 Å, b = 5.3938 Å, c = 8.4091 Å
α = 108.71°, β = 108.71°, γ = 90.00°
Fractional coordinates of all 9 atoms:
Pm 0.2011 0.2011 0.4022
Pm 0.7989 0.7989 0.5978
Y 0.5000 0.0000 0.0000
Y 0.0000 0.5000 0.0000
Se 0.6020 0.6020 0.2040
Se 0.3980 0.3980 0.7960
S 0.0000 0.0000 0.0000
S 0.2500 0.7500 0.5000
S 0.7500 0.2500 0.5000



Question: Which value of mass density does entry 4 give?
Answer: 5.45 g cm⁻³